(1)
## Y2TmC (GGA-PBE)

Data for a relaxed structure of Y2TmC.

POSCAR file:
```
Y2TmC
1.0
3.547 0.000 0.000
1.773 3.072 0.000
1.773 1.024 9.548
Tm Y C
1 2 1
direct
0.000 0.000 0.000
0.880 0.880 0.359
0.120 0.120 0.641
0.500 0.500 0.500
```

Summary:
As for the crystal system: trigonal.

(2)
## TcSn2B (GGA-PBE)

Data for a relaxed structure of TcSn2B.

POSCAR file:
```
TcSn2B
1.0
-5.411 1.850 -3.854
3.573 -1.456 -5.715
-1.954 -2.663 -4.703
Sn Tc B
4 2 2
direct
0.375 0.434 0.750
0.184 0.625 0.250
0.566 0.125 0.250
0.875 0.816 0.750
0.750 0.250 0.500
0.000 0.000 0.000
0.250 0.750 0.500
0.500 0.500 0.000
```

Summary:
As for the crystal system: tetragonal.

| no. | ΔH_f (0 K) (eV per atom) |
| --- | --- |
| 1 | -0.061 |
| 2 | 0.910 |